[1]
FeCo3Re: relaxed, GGA-PBE.

Structure (extended XYZ):
```
10
Lattice="-1.005 -0.184 -4.276 1.815 -4.305 -0.242 -6.549 -0.193 -0.465" Properties=species:S:1:pos:R:3 pbc="T T T"
Fe -5.774 -2.213 -3.949
Fe 0.035 -2.470 -1.034
Co -0.976 -3.996 -2.989
Co -1.840 -1.947 -2.874
Co -3.899 -2.735 -2.108
Co -4.763 -0.687 -1.993
Co 0.000 0.000 0.000
Co -0.503 -0.092 -2.138
Re -3.387 -3.721 -4.444
Re -2.352 -0.961 -0.539
```

Results
- space group = No. 12
- ΔH_f (0 K) (eV per atom) = 0.114



[2]
Li2PrSiH: relaxed, GGA-PBE.

Structure (extended XYZ):
```
10
Lattice="4.317 0.000 0.000 -2.159 5.433 0.000 0.000 0.000 6.811" Properties=species:S:1:pos:R:3 pbc="T T T"
Li 0.000 1.729 6.388
Li 2.159 3.704 0.422
Li 0.000 1.729 3.828
Li 2.159 3.704 2.983
Pr 0.000 4.618 5.108
Pr 2.159 0.815 1.703
Si 2.159 2.247 5.108
Si 0.000 3.186 1.703
H 0.000 0.000 0.000
H 0.000 0.000 3.405
```

Results
- final energy (eV per formula unit) = -19.3
- space group = No. 63



Quick rundown of density, same order as above: 11.62; 3.82 g/cm³